Entry 1:
Pm4Nd2TmSc | Alexandria | PBE-GGA | relaxed; energy relative to the elements = 300.7 kJ/mol of formula units; magnetization = 0.02 μB per formula unit; SG = C2/c, No. 15; Fermi-level density of states = 35.915 states/eV/cell
1.0
6.832 -6.587 0.000
6.832 6.587 0.000
-3.406 0.000 5.930
Pm Nd Tm Sc
8 4 2 2
Direct
0.236 0.258 0.462
0.241 0.750 0.988
0.250 0.759 0.512
0.258 0.236 0.962
0.742 0.764 0.038
0.750 0.241 0.488
0.759 0.250 0.012
0.764 0.742 0.538
0.000 0.500 0.000
0.500 0.000 0.500
0.500 0.500 0.000
0.500 0.500 0.500
0.000 0.000 0.000
0.000 0.000 0.500
0.000 0.500 0.500
0.500 0.000 0.000

Entry 2:
Pm5Nd2TmSc | Alexandria | PBE-GGA | relaxed; energy relative to the elements = 239.3 kJ/mol of formula units; magnetization = 0.00 μB per formula unit; SG = I4/mcm, No. 140; Fermi-level density of states = 25.244 states/eV/cell
1.0
-4.205 4.205 8.503
4.205 -4.205 8.503
4.205 4.205 -8.503
Pm Nd Tm Sc
10 4 2 2
Direct
0.000 0.000 0.000
0.072 0.572 0.937
0.135 0.072 0.500
0.365 0.865 0.937
0.428 0.365 0.500
0.500 0.500 0.000
0.572 0.635 0.500
0.635 0.135 0.063
0.865 0.928 0.500
0.928 0.428 0.063
0.125 0.375 0.500
0.375 0.875 0.250
0.625 0.125 0.750
0.875 0.625 0.500
0.250 0.250 0.000
0.750 0.750 0.000
0.250 0.750 0.500
0.750 0.250 0.500